Sc2Ga2Te7: optimized geometry, GGA-PBE.

Lattice parameters (Å, degrees): 8.820 12.646 7.314 90.00 110.62 90.00
Space group C2/m (No. 12)
Inequivalent atoms, fractional coordinates:
Sc 0.000 0.191 0.000 x4
Ga 0.243 0.000 0.630 x4
Te 0.000 0.500 0.500 x2
Te 0.148 0.000 0.234 x4
Te 0.217 0.185 0.774 x8

* formation energy from raw total energies: -0.55 eV/atom
* total DFT energy (no corrections): -0.313 Ry per atom
* calculated density: 4.9 Mg/m³